# PBE with a Hubbard U CaMgCoHNF, optimized geometry
data_CaMgCoHNF
_chemical_formula_sum 'Ca2 Mg2 Co2 H2 N2 F2'
_symmetry_space_group_name_H-M 'C 1 m 1'
_symmetry_Int_Tables_number 8
_cell_length_a 5.808
_cell_length_b 3.407
_cell_length_c 7.933
_cell_angle_alpha 90.00
_cell_angle_beta 104.58
_cell_angle_gamma 90.00
loop_
_symmetry_equiv_pos_as_xyz
'x,y,z'
'x,-y,z'
'x+1/2,y+1/2,z'
'x+1/2,-y+1/2,z'
loop_
_atom_site_label
_atom_site_type_symbol
_atom_site_fract_x
_atom_site_fract_y
_atom_site_fract_z
_atom_site_occupancy
Ca1 Ca 0.000 0.000 0.000 1
Mg1 Mg 0.269 0.500 0.297 1
Co1 Co 0.020 0.500 0.550 1
H1 H 0.149 0.000 0.540 1
N1 N 0.398 0.000 0.194 1
F1 F 0.108 0.500 0.838 1
# Total energy (eV/atom): -4.727
# Distance to the lowest polymorph of the same formula (meV per atom): 75.7
# V (Å³ per cell): 151.9